The following is a DFT calculation (PBE) of a geometry-optimized CdAg14Ge structure.

abc: 9.590 5.847 5.847
angles: 62.14 90.00 90.00
Positions (direct):
1 Cd 0.000 0.000 0.000
2 Ag 0.000 0.501 0.998
3 Ag 0.000 0.998 0.501
4 Ag 0.251 0.326 0.326
5 Ag 0.251 0.328 0.825
6 Ag 0.251 0.825 0.328
7 Ag 0.253 0.827 0.827
8 Ag 0.500 0.154 0.154
9 Ag 0.500 0.156 0.653
10 Ag 0.500 0.653 0.156
11 Ag 0.500 0.654 0.654
12 Ag 0.747 0.827 0.827
13 Ag 0.749 0.326 0.326
14 Ag 0.749 0.328 0.825
15 Ag 0.749 0.825 0.328
16 Ge 0.000 0.501 0.501

Results
ΔE_f	0.04	eV per atom
SG	Amm2, No. 38
crystal system	orthorhombic
density of states at the Fermi level	5.6	states/eV/f.u.